No. 1
VASP calculation (PBE-GGA) on crystalline Rb2NaP2O6 at its relaxed geometry.

Output
- Magnetization: 0.091 μB per atom
- ρ: 3.14 g/cm³
- Uncorrected formation energy: -2059 meV/atom
- Calculated total energy: -0.222 Ha/atom

Cell: 6.8419 6.8419 6.8419 Å, 52.38 52.38 52.38°
Last column: nearest neighbours and their distance in Å.
Atoms (fractional coordinates):
Rb (0.2226, 0.2226, 0.2226)  9 O 3.07-3.18
Rb (0.7774, 0.7774, 0.7774)  9 O 3.07-3.18
Na (0.0000, 0.0000, 0.0000)  6 O 2.46
P (0.4312, 0.4312, 0.4312)  3 O 1.52
P (0.5688, 0.5688, 0.5688)  3 O 1.52
O (0.2720, 0.2720, 0.7017)  1 P 1.52
O (0.2720, 0.7017, 0.2720)  1 P 1.52
O (0.2983, 0.7280, 0.7280)  1 P 1.52
O (0.7017, 0.2720, 0.2720)  1 P 1.52
O (0.7280, 0.2983, 0.7280)  1 P 1.52
O (0.7280, 0.7280, 0.2983)  1 P 1.52



No. 2
VASP calculation (PBE-GGA) on crystalline RbNaPO2 at its relaxed geometry.

Output
- Magnetization: 1.000 μB per atom
- ρ: 1.75 g/cm³
- Uncorrected formation energy: 720 meV/atom
- Calculated total energy: -0.103 Ha/atom

Cell: 5.0744 5.0744 6.3347 Å, 90.00 90.00 90.00°
Last column: nearest neighbours and their distance in Å.
Atoms (fractional coordinates):
Rb (0.0000, 0.0000, 0.0000)  4 O 2.54
Na (0.5000, 0.5000, 0.5000)  4 P 3.59
P (0.0000, 0.0000, 0.5000)  2 Rb 3.17
O (0.0000, 0.5000, 0.0000)  2 Rb 2.54
O (0.5000, 0.0000, 0.0000)  2 Rb 2.54



No. 3
VASP calculation (PBE-GGA) on crystalline RbNaPO2 at its relaxed geometry.

Output
- Magnetization: 1.002 μB per atom
- ρ: 2.30 g/cm³
- Uncorrected formation energy: 358 meV/atom
- Calculated total energy: -0.116 Ha/atom

Cell: 4.7621 4.7621 5.4534 Å, 90.00 90.00 90.00°
Last column: nearest neighbours and their distance in Å.
Atoms (fractional coordinates):
Rb (0.0000, 0.0000, 0.0000)  4 P 3.37, 8 O 3.62
Na (0.5000, 0.5000, 0.5000)  4 O 2.38
P (0.5000, 0.5000, 0.0000)  2 Na 2.73
O (0.0000, 0.5000, 0.5000)  2 Na 2.38
O (0.5000, 0.0000, 0.5000)  2 Na 2.38



No. 4
VASP calculation (PBE-GGA) on crystalline RbNaP2O at its relaxed geometry.

Output
- Magnetization: 0.191 μB per atom
- ρ: 2.49 g/cm³
- Uncorrected formation energy: 739 meV/atom
- Calculated total energy: -0.106 Ha/atom

Cell: 5.1910 5.1910 4.6060 Å, 90.00 90.00 90.00°
Last column: nearest neighbours and their distance in Å.
Atoms (fractional coordinates):
Rb (0.0000, 0.0000, 0.0000)  8 P 3.47, 4 O 3.67
Na (0.5000, 0.5000, 0.5000)  2 O 2.30
P (0.0000, 0.5000, 0.5000)  2 Na 2.60
P (0.5000, 0.0000, 0.5000)  2 Na 2.60
O (0.5000, 0.5000, 0.0000)  2 Na 2.30